First-principles (GGA-PBE) data for a relaxed YRe2 crystal, as listed in the Alexandria database.

Cell: 2.942 2.942 7.289 Å, 90.00 90.00 120.00°
Positions (direct):
Re 0.333 0.667 0.696
Re 0.000 0.000 0.971
Y 0.667 0.333 0.333

## Properties
E_form = 0.5167 eV/atom
Total energy = -29.81 eV for the cell shown